(1)
Computed, not measured: a relaxed Tl2P crystal at the PBE level of DFT.

Its density of states at the Fermi level is 1.1 states/eV/f.u. The calculation puts the formation energy at 5.6 kcal/mol of atoms. Its polymorph energy (0 for the lowest one) is 175.3 meV per atom. The value obtained for the total magnetization is 0.000 μB/f.u.

Cell lengths 3.318, 3.812, 12.986 Å; angles 90.00, 90.00, 90.00 degrees
Space group Immm (No. 71)
One atom of each set of equivalent atoms:
Tl: 0.000 0.000 0.138
P: 0.000 0.000 0.500

(2)
Computed, not measured: a relaxed MgSeN2F crystal at the PBE level of DFT.

Its density of states at the Fermi level is 2.5 states/eV/f.u. Its polymorph energy (0 for the lowest one) is 844.8 meV per atom. As for the formation energy without anion corrections: 1.30 eV per atom. The value obtained for the total magnetization is 3.015 μB/f.u.

Cell lengths 4.136, 4.136, 5.409 Å; angles 90.00, 90.00, 90.00 degrees
Space group P4/mmm (No. 123)
One atom of each set of equivalent atoms:
Mg: 0.000 0.000 0.000
Se: 0.000 0.000 0.500
N: 0.000 0.500 0.000
F: 0.500 0.500 0.500

(3)
Computed, not measured: a relaxed Rb3TaCl7 crystal at the PBE level of DFT.

Its density of states at the Fermi level is 7.6 states/eV/f.u. As for the formation energy without anion corrections: -1.65 eV per atom. The value obtained for the total magnetization is 1.001 μB/f.u.

Cell lengths 10.117, 10.117, 7.054 Å; angles 90.00, 90.00, 90.00 degrees
Space group P4/mbm (No. 127)
One atom of each set of equivalent atoms:
Rb: 0.000 0.000 0.000
Rb: 0.179 0.321 0.500
Ta: 0.000 0.500 0.000
Cl: 0.000 0.000 0.500
Cl: 0.118 0.618 0.245
Cl: 0.170 0.330 0.000

(4)
Computed, not measured: a relaxed Zr2Ga3Au crystal at the PBE level of DFT.

Its density of states at the Fermi level is 2.0 states/eV/f.u. The calculation puts the formation energy at -12.2 kcal/mol of atoms. The value obtained for the total magnetization is 0.000 μB/f.u.

Cell lengths 6.494, 8.801, 15.340 Å; angles 90.00, 90.00, 90.00 degrees
Space group Fmmm (No. 69)
One atom of each set of equivalent atoms:
Zr: 0.249 0.000 0.000
Zr: 0.250 0.250 0.250
Ga: 0.000 0.000 0.166
Ga: 0.000 0.249 0.083
Au: 0.000 0.000 0.333